[1]
Material: Y4MgPt
Method: DFT, GGA-PBEsol
State: relaxed

Results
DFT formation energy ... -0.511 eV per atom
V ... 2550.6 Å³/cell
Size of the total moment ... 0.00 μB per formula unit

```
data_Y4MgPt
_chemical_formula_sum 'Y64 Mg16 Pt16'
_cell_length_a 13.663
_cell_length_b 13.663
_cell_length_c 13.663
_cell_angle_alpha 90.00
_cell_angle_beta 90.00
_cell_angle_gamma 90.00
_space_group_name_H-M_alt 'F -4 3 m'
_space_group_IT_number 216
_space_group_name_Hall 'F -4 2 3'
loop_
_atom_site_label
_atom_site_fract_x
_atom_site_fract_y
_atom_site_fract_z
_atom_site_occupancy
Y1 0.000 0.000 0.185 1
Y2 0.061 0.250 0.750 1
Y3 0.099 0.099 0.401 1
Mg1 0.170 0.170 0.170 1
Pt1 0.108 0.108 0.608 1
```

[2]
Material: PrTm3
Method: DFT, GGA-PBEsol
State: relaxed

Results
DFT formation energy ... 0.016 eV per atom
V ... 240.8 Å³/cell
Size of the total moment ... 0.00 μB per formula unit
Offset from the most stable computed form ... 0.0 meV/atom

```
data_PrTm3
_chemical_formula_sum 'Pr2 Tm6'
_cell_length_a 7.0720
_cell_length_b 7.0720
_cell_length_c 5.5600
_cell_angle_alpha 90.00
_cell_angle_beta 90.00
_cell_angle_gamma 120.00
_space_group_name_H-M_alt 'P 63/m m c'
_space_group_IT_number 194
_space_group_name_Hall '-P 6c 2c'
loop_
_atom_site_label
_atom_site_fract_x
_atom_site_fract_y
_atom_site_fract_z
_atom_site_occupancy
Pr1 0.3333 0.6667 0.2500 1
Tm1 0.1649 0.3298 0.7500 1
```

[3]
Material: PPt2
Method: DFT, GGA-PBEsol
State: relaxed

Results
DFT formation energy ... -0.361 eV per atom
V ... 180.3 Å³/cell
Size of the total moment ... 0.00 μB per formula unit

```
data_PPt2
_chemical_formula_sum 'P4 Pt8'
_cell_length_a 9.973
_cell_length_b 3.486
_cell_length_c 5.472
_cell_angle_alpha 90.00
_cell_angle_beta 108.58
_cell_angle_gamma 90.00
_space_group_name_H-M_alt 'C 1 2/m 1'
_space_group_IT_number 12
loop_
_space_group_symop_operation_xyz
'x,y,z'
'-x,-y,-z'
'-x,y,-z'
'x,-y,z'
'x+1/2,y+1/2,z'
'-x+1/2,-y+1/2,-z'
'-x+1/2,y+1/2,-z'
'x+1/2,-y+1/2,z'
loop_
_atom_site_label
_atom_site_fract_x
_atom_site_fract_y
_atom_site_fract_z
_atom_site_occupancy
P1 0.184 0.000 0.150 1
Pt1 0.066 0.500 0.273 1
Pt2 0.142 0.000 0.706 1
```